LiAl2NiO: relaxed, GGA+U.

Computed properties:
**Total magnetic moment**: 0.00 μB per cell
**Calculated density**: 4.0 g cm⁻³
**Calculated total energy**: -20.009 eV for the cell shown
**D(E_F)**: 1.1 states/eV/f.u.
**Space group**: P4/mmm

Unit cell a=4.0167 b=3.5204 c=4.0167 alpha=90.00 beta=90.00 gamma=90.00
Atoms (fractional coordinates):
1 Al 0.0000 0.0000 0.5000
2 Al 0.5000 0.0000 0.0000
3 O 0.0000 0.0000 0.0000
4 Li 0.0000 0.5000 0.0000
5 Ni 0.5000 0.5000 0.5000